[1]
Below is crystalline Th2TeSe at its relaxed geometry, with properties calculated at the PBE level.

Cell lengths 4.0294, 4.0294, 24.6489 Å; angles 90.00, 90.00, 120.00 degrees
Space group R3m (No. 160, hexagonal axes)
Unique sites:
Th1 0.0000 0.0000 0.0000 x3
Th2 0.0000 0.0000 0.1799 x3
Te1 0.0000 0.0000 0.7567 x3
Se1 0.0000 0.0000 0.5906 x3

Results
The value obtained for the density of states at the Fermi level is 11.9 states/eV per cell. The calculated total energy is -6.63 eV per atom. As for the magnetic moment: 0.00 Bohr magnetons per cell. The density comes out at 9.639 Mg/m³. The value obtained for the relative energy among the computed polymorphs is 7 kJ/mol of formula units.



[2]
Below is crystalline TiIn at its relaxed geometry, with properties calculated at the PBE level.

Cell lengths 2.983, 12.517, 7.088 Å; angles 90.00, 90.00, 90.00 degrees
Space group Imm2 (No. 44)
Unique sites:
Ti1 0.000 0.000 0.000 x2
Ti2 0.000 0.391 0.234 x4
In1 0.000 0.000 0.414 x2
In2 0.000 0.308 0.641 x4

Results
The value obtained for the density of states at the Fermi level is 11.0 states/eV per cell. The calculated total energy is -5.26 eV per atom. Its formation energy is 60 meV/atom. As for the magnetic moment: 0.91 Bohr magnetons per cell. The density comes out at 6.124 Mg/m³.



[3]
Below is crystalline Pa2TlGa at its relaxed geometry, with properties calculated at the PBE level.

Cell lengths 4.517, 4.517, 4.641 Å; angles 90.00, 90.00, 90.00 degrees
Space group P4/mmm (No. 123)
Unique sites:
Pa1 0.000 0.500 0.000 x2
Tl1 0.000 0.000 0.500 x1
Ga1 0.500 0.500 0.500 x1

Results
The value obtained for the density of states at the Fermi level is 7.0 states/eV per cell. The calculated total energy is -6.07 eV per atom. Its formation energy is 31 meV/atom. As for the magnetic moment: 0.54 Bohr magnetons per cell. The density comes out at 12.911 Mg/m³. The value obtained for the relative energy among the computed polymorphs is 31 kJ/mol of formula units.



[4]
Below is crystalline Ac3Al2Hg4 at its relaxed geometry, with properties calculated at the PBE level.

Cell lengths 11.905, 4.902, 9.418 Å; angles 90.00, 110.16, 90.00 degrees
Space group C2/m (No. 12)
Unique sites:
Ac1 0.000 0.000 0.000 x2
Ac2 0.145 0.500 0.681 x4
Al1 0.148 0.500 0.314 x4
Hg1 0.094 0.000 0.413 x4
Hg2 0.210 0.500 0.061 x4

Results
The value obtained for the density of states at the Fermi level is 14.4 states/eV per cell. The calculated total energy is -2.76 eV per atom. Its formation energy is -427 meV/atom. As for the magnetic moment: 0.00 Bohr magnetons per cell. The density comes out at 9.895 Mg/m³.



[5]
Below is crystalline MgCr3Ge at its relaxed geometry, with properties calculated at the PBE level.

Cell lengths 4.875, 4.875, 4.875 Å; angles 90.00, 90.00, 90.00 degrees
Space group Pm-3m (No. 221)
Unique sites:
Mg1 0.000 0.000 0.000 x1
Cr1 0.000 0.000 0.500 x3
Ge1 0.500 0.500 0.500 x1

Results
The value obtained for the density of states at the Fermi level is 4.1 states/eV per cell. The calculated total energy is -5.35 eV per atom. Its formation energy is 1671 meV/atom. As for the magnetic moment: 12.73 Bohr magnetons per cell. The density comes out at 3.625 Mg/m³. The value obtained for the relative energy among the computed polymorphs is 377 kJ/mol of formula units.